The following is a PBE-GGA calculation of an optimized crystal structure of Ba2BeP, from the Alexandria database. Values from VASP.

Calculated values
volume: 146.7 Å³/cell
energy of formation from the pure elements: 0.08 eV per atom
energy above the lowest structure with this stoichiometry: 0.519 eV per atom

```
&SYSTEM
  ibrav = 0, nat = 4, ntyp = 3
/
ATOMIC_SPECIES
P 30.97 P.upf
Ba 137.33 Ba.upf
Be 9.01 Be.upf
ATOMIC_POSITIONS crystal
P 0.500 0.500 0.876
Ba 0.000 0.000 0.874
Ba 0.500 0.500 0.376
Be 0.000 0.000 0.374
CELL_PARAMETERS angstrom
-2.576 3.166 -2.352
-3.376 -0.316 3.272
2.863 4.872 3.424
```

The following is a PBE-GGA calculation of an optimized crystal structure of LaSi3, from the Alexandria database. Values from VASP.

Calculated values
volume: 80.5 Å³/cell
E_form (uncorrected): -1.2 eV per formula unit

```
&SYSTEM
  ibrav = 0, nat = 4, ntyp = 2
/
ATOMIC_SPECIES
La 138.91 La.upf
Si 28.09 Si.upf
ATOMIC_POSITIONS crystal
La 0.000 0.000 0.000
Si 0.795 0.795 0.795
Si 0.500 0.500 0.500
Si 0.205 0.205 0.205
CELL_PARAMETERS angstrom
-5.170 1.787 -1.551
-3.919 -1.613 -3.790
-5.285 -2.086 0.216
```

The following is a PBE-GGA calculation of an optimized crystal structure of TlCo2Tc, from the Alexandria database. Values from VASP.

Calculated values
volume: 59.3 Å³/cell
energy of formation from the pure elements: 0.49 eV per atom
energy above the lowest structure with this stoichiometry: 0.074 eV per atom

```
&SYSTEM
  ibrav = 0, nat = 4, ntyp = 3
/
ATOMIC_SPECIES
Co 58.93 Co.upf
Tc 98.00 Tc.upf
Tl 204.38 Tl.upf
ATOMIC_POSITIONS crystal
Co 0.000 0.000 0.050
Co 0.500 0.500 0.236
Tc 0.000 0.000 0.448
Tl 0.500 0.500 0.765
CELL_PARAMETERS angstrom
-2.223 1.602 -1.040
-1.903 -2.000 0.985
-0.404 3.352 6.025
```

Asked for VASP energy across the records above, the calculation gives -12.66, -22.40, -25.00 eV for the cell shown in order.
Asked for N(E_F) across the records above, the calculation gives 4.6, 2.0, 5.7 states/eV/f.u. in order.
Asked for theoretical density across the records above, the calculation gives 3.56, 4.60, 11.76 g/cm3 in order.